(1)
# NdGdOsAu (GGA-PBE, optimized geometry)
# - E_form: -1.40 eV per formula unit
# - Density: 12.6 g/cm3
# - D(E_F): 0.77 states/eV per atom
data_NdGdOsAu
_symmetry_space_group_name_H-M 'F -4 3 m'
_symmetry_Int_Tables_number 216
_symmetry_space_group_name_Hall 'F -4 2 3'
_cell_length_a 7.142
_cell_length_b 7.142
_cell_length_c 7.142
_cell_angle_alpha 90.00
_cell_angle_beta 90.00
_cell_angle_gamma 90.00
loop_
_atom_site_label
_atom_site_fract_x
_atom_site_fract_y
_atom_site_fract_z
Nd1 0.000 0.000 0.000
Gd1 0.000 0.000 0.500
Os1 0.250 0.250 0.250
Au1 0.250 0.250 0.750

=====

(2)
# NdGdPtAu (GGA-PBE, optimized geometry)
# - E_form: -3.78 eV per formula unit
# - Density: 12.1 g/cm3
# - D(E_F): 0.74 states/eV per atom
data_NdGdPtAu
_symmetry_space_group_name_H-M 'F -4 3 m'
_symmetry_Int_Tables_number 216
_symmetry_space_group_name_Hall 'F -4 2 3'
_cell_length_a 7.242
_cell_length_b 7.242
_cell_length_c 7.242
_cell_angle_alpha 90.00
_cell_angle_beta 90.00
_cell_angle_gamma 90.00
loop_
_atom_site_label
_atom_site_fract_x
_atom_site_fract_y
_atom_site_fract_z
Nd1 0.000 0.000 0.000
Gd1 0.000 0.000 0.500
Pt1 0.250 0.250 0.750
Au1 0.250 0.250 0.250

=====

(3)
# NdGdSiAu (GGA-PBE, optimized geometry)
# - Density: 9.0 g/cm3
# - D(E_F): 0.78 states/eV per atom
# - Uncorrected formation energy: -0.65 eV per atom
data_NdGdSiAu
_symmetry_space_group_name_H-M 'F -4 3 m'
_symmetry_Int_Tables_number 216
_symmetry_space_group_name_Hall 'F -4 2 3'
_cell_length_a 7.288
_cell_length_b 7.288
_cell_length_c 7.288
_cell_angle_alpha 90.00
_cell_angle_beta 90.00
_cell_angle_gamma 90.00
loop_
_atom_site_label
_atom_site_fract_x
_atom_site_fract_y
_atom_site_fract_z
Nd1 0.000 0.000 0.000
Gd1 0.000 0.000 0.500
Si1 0.250 0.250 0.750
Au1 0.250 0.250 0.250